1.
# Pr7Al7Co6 | Alexandria | SCAN | single point on PBEsol structure
# - D(E_F) (states/eV/atom) = 0.448
# - energy of formation from the pure elements (eV/atom) = -0.30
# - spin magnetization (μB/atom) = 0.000
data_Pr7Al7Co6
_chemical_formula_sum 'Pr14 Al14 Co12'
_cell_length_a 13.7150
_cell_length_b 13.7150
_cell_length_c 4.1461
_cell_angle_alpha 90.00
_cell_angle_beta 90.00
_cell_angle_gamma 90.00
_space_group_name_H-M_alt 'P 1'
_space_group_IT_number 1
loop_
_space_group_symop_operation_xyz
'x,y,z'
loop_
_atom_site_label
_atom_site_type_symbol
_atom_site_fract_x
_atom_site_fract_y
_atom_site_fract_z
Pr1 Pr 0.0000 0.0000 0.0000
Pr2 Pr 0.0472 0.2623 0.0000
Pr3 Pr 0.1311 0.6311 0.5000
Pr4 Pr 0.2377 0.4528 0.0000
Pr5 Pr 0.2623 0.9528 0.0000
Pr6 Pr 0.3689 0.1311 0.5000
Pr7 Pr 0.4528 0.7623 0.0000
Pr8 Pr 0.5000 0.5000 0.0000
Pr9 Pr 0.5472 0.2377 0.0000
Pr10 Pr 0.6311 0.8689 0.5000
Pr11 Pr 0.7377 0.0472 0.0000
Pr12 Pr 0.7623 0.5472 0.0000
Pr13 Pr 0.8689 0.3689 0.5000
Pr14 Pr 0.9528 0.7377 0.0000
Al1 Al 0.0000 0.5000 0.0000
Al2 Al 0.0985 0.8613 0.5000
Al3 Al 0.1387 0.0985 0.5000
Al4 Al 0.2144 0.2856 0.5000
Al5 Al 0.2856 0.7856 0.5000
Al6 Al 0.3613 0.5985 0.5000
Al7 Al 0.4015 0.3613 0.5000
Al8 Al 0.5000 0.0000 0.0000
Al9 Al 0.5985 0.6387 0.5000
Al10 Al 0.6387 0.4015 0.5000
Al11 Al 0.7144 0.2144 0.5000
Al12 Al 0.7856 0.7144 0.5000
Al13 Al 0.8613 0.9015 0.5000
Al14 Al 0.9015 0.1387 0.5000
Co1 Co 0.0729 0.4271 0.5000
Co2 Co 0.1658 0.7890 0.0000
Co3 Co 0.2110 0.1658 0.0000
Co4 Co 0.2890 0.6658 0.0000
Co5 Co 0.3342 0.2890 0.0000
Co6 Co 0.4271 0.9271 0.5000
Co7 Co 0.5729 0.0729 0.5000
Co8 Co 0.6658 0.7110 0.0000
Co9 Co 0.7110 0.3342 0.0000
Co10 Co 0.7890 0.8342 0.0000
Co11 Co 0.8342 0.2110 0.0000
Co12 Co 0.9271 0.5729 0.5000


2.
# ScSiPb2 | Alexandria | SCAN | single point on PBEsol structure
# - D(E_F) (states/eV/atom) = 0.469
# - spin magnetization (μB/atom) = 0.000
# - formation energy from raw total energies (eV/atom) = -0.101
data_ScSiPb2
_chemical_formula_sum 'Sc1 Si1 Pb2'
_cell_length_a 7.1055
_cell_length_b 7.1055
_cell_length_c 4.0169
_cell_angle_alpha 105.27
_cell_angle_beta 105.27
_cell_angle_gamma 30.62
_space_group_name_H-M_alt 'P 1'
_space_group_IT_number 1
loop_
_space_group_symop_operation_xyz
'x,y,z'
loop_
_atom_site_label
_atom_site_type_symbol
_atom_site_fract_x
_atom_site_fract_y
_atom_site_fract_z
Sc1 Sc 0.0000 0.0000 0.0000
Si1 Si 0.5000 0.5000 0.5000
Pb1 Pb 0.1831 0.1831 0.6826
Pb2 Pb 0.8169 0.8169 0.3174


3.
# MgTl2Cd | Alexandria | SCAN | single point on PBEsol structure
# - D(E_F) (states/eV/atom) = 0.395
# - energy relative to the lowest polymorph listed for this composition (meV per atom) = 42.0
# - energy of formation from the pure elements (eV/atom) = 0.01
# - spin magnetization (μB/atom) = 0.000
data_MgTl2Cd
_chemical_formula_sum 'Mg1 Tl2 Cd1'
_cell_length_a 6.1883
_cell_length_b 6.1883
_cell_length_c 3.3626
_cell_angle_alpha 104.84
_cell_angle_beta 104.84
_cell_angle_gamma 116.66
_space_group_name_H-M_alt 'P 1'
_space_group_IT_number 1
loop_
_space_group_symop_operation_xyz
'x,y,z'
loop_
_atom_site_label
_atom_site_type_symbol
_atom_site_fract_x
_atom_site_fract_y
_atom_site_fract_z
Mg1 Mg 0.0000 0.0000 0.0000
Tl1 Tl 0.0000 0.5000 0.5000
Tl2 Tl 0.5000 0.0000 0.5000
Cd1 Cd 0.5000 0.5000 0.0000


4.
# Ho2Si3Rh | Alexandria | SCAN | single point on PBEsol structure
# - D(E_F) (states/eV/atom) = 0.247
# - spin magnetization (μB/atom) = 0.000
# - formation energy from raw total energies (eV/atom) = -0.988
data_Ho2Si3Rh
_chemical_formula_sum 'Ho8 Si12 Rh4'
_cell_length_a 8.0894
_cell_length_b 8.0894
_cell_length_c 7.6853
_cell_angle_alpha 90.00
_cell_angle_beta 90.00
_cell_angle_gamma 120.00
_space_group_name_H-M_alt 'P 1'
_space_group_IT_number 1
loop_
_space_group_symop_operation_xyz
'x,y,z'
loop_
_atom_site_label
_atom_site_type_symbol
_atom_site_fract_x
_atom_site_fract_y
_atom_site_fract_z
Ho1 Ho 0.0000 0.0000 0.2500
Ho2 Ho 0.0000 0.0000 0.7500
Ho3 Ho 0.0192 0.5096 0.2500
Ho4 Ho 0.4904 0.5096 0.2500
Ho5 Ho 0.4904 0.9808 0.2500
Ho6 Ho 0.5096 0.0192 0.7500
Ho7 Ho 0.5096 0.4904 0.7500
Ho8 Ho 0.9808 0.4904 0.7500
Si1 Si 0.1672 0.3344 0.5020
Si2 Si 0.1672 0.3344 0.9980
Si3 Si 0.1672 0.8328 0.5020
Si4 Si 0.1672 0.8328 0.9980
Si5 Si 0.3344 0.1672 0.0020
Si6 Si 0.3344 0.1672 0.4980
Si7 Si 0.6656 0.8328 0.5020
Si8 Si 0.6656 0.8328 0.9980
Si9 Si 0.8328 0.1672 0.0020
Si10 Si 0.8328 0.1672 0.4980
Si11 Si 0.8328 0.6656 0.0020
Si12 Si 0.8328 0.6656 0.4980
Rh1 Rh 0.3333 0.6667 0.5367
Rh2 Rh 0.3333 0.6667 0.9633
Rh3 Rh 0.6667 0.3333 0.0367
Rh4 Rh 0.6667 0.3333 0.4633